Entry 1:
First-principles (PBE-GGA) data for a geometry-optimized Pr8Sm6Y structure, as listed in Alexandria.

Cell and atoms, written as CIF:
```
data_Pr8Sm6Y
_cell_length_a 10.005
_cell_length_b 10.005
_cell_length_c 8.386
_cell_angle_alpha 53.38
_cell_angle_beta 53.38
_cell_angle_gamma 60.00
_space_group_name_H-M_alt 'P 1'
_space_group_IT_number 1
loop_
_space_group_symop_operation_xyz
'x,y,z'
loop_
_atom_site_label
_atom_site_type_symbol
_atom_site_fract_x
_atom_site_fract_y
_atom_site_fract_z
Pr1 Pr 0.355 0.226 0.489
Pr2 Pr 0.774 0.070 0.511
Pr3 Pr 0.070 0.645 0.511
Pr4 Pr 0.586 0.586 0.242
Pr5 Pr 0.414 0.414 0.758
Pr6 Pr 0.930 0.355 0.489
Pr7 Pr 0.226 0.930 0.489
Pr8 Pr 0.645 0.774 0.511
Sm1 Sm 0.391 0.920 0.972
Sm2 Sm 0.080 0.283 0.028
Sm3 Sm 0.283 0.609 0.028
Sm4 Sm 0.717 0.391 0.972
Sm5 Sm 0.920 0.717 0.972
Sm6 Sm 0.609 0.080 0.028
Y1 Y 0.000 0.000 0.000
```

Computed properties:
E_form	0.152	eV per atom
N(E_F)	23.03	states/eV/cell

Entry 2:
First-principles (PBE-GGA) data for a geometry-optimized Pr8Sm3Y4 structure, as listed in Alexandria.

Cell and atoms, written as CIF:
```
data_Pr8Sm3Y4
_cell_length_a 6.982
_cell_length_b 9.346
_cell_length_c 9.346
_cell_angle_alpha 82.53
_cell_angle_beta 111.22
_cell_angle_gamma 111.22
_space_group_name_H-M_alt 'P 1'
_space_group_IT_number 1
loop_
_space_group_symop_operation_xyz
'x,y,z'
loop_
_atom_site_label
_atom_site_type_symbol
_atom_site_fract_x
_atom_site_fract_y
_atom_site_fract_z
Pr1 Pr 0.810 0.296 0.296
Pr2 Pr 0.000 0.705 0.295
Pr3 Pr 0.271 0.247 0.247
Pr4 Pr 0.500 0.752 0.248
Pr5 Pr 0.500 0.248 0.752
Pr6 Pr 0.729 0.753 0.753
Pr7 Pr 0.000 0.295 0.705
Pr8 Pr 0.190 0.704 0.704
Sm1 Sm 0.500 0.500 0.000
Sm2 Sm 0.500 0.000 0.500
Sm3 Sm 0.500 0.500 0.500
Y1 Y 0.500 0.000 0.000
Y2 Y 0.000 0.500 0.000
Y3 Y 0.000 0.000 0.000
Y4 Y 0.000 0.000 0.500
```

Computed properties:
E_form	0.315	eV per atom
N(E_F)	22.84	states/eV/cell

Entry 3:
First-principles (PBE-GGA) data for a geometry-optimized Pr3SmY4 structure, as listed in Alexandria.

Cell and atoms, written as CIF:
```
data_Pr3SmY4
_cell_length_a 3.493
_cell_length_b 9.054
_cell_length_c 9.054
_cell_angle_alpha 81.44
_cell_angle_beta 78.88
_cell_angle_gamma 78.88
_space_group_name_H-M_alt 'P 1'
_space_group_IT_number 1
loop_
_space_group_symop_operation_xyz
'x,y,z'
loop_
_atom_site_label
_atom_site_type_symbol
_atom_site_fract_x
_atom_site_fract_y
_atom_site_fract_z
Pr1 Pr 0.758 0.242 0.242
Pr2 Pr 0.242 0.758 0.758
Pr3 Pr 0.000 0.500 0.500
Y1 Y 0.634 0.114 0.618
Y2 Y 0.366 0.886 0.382
Y3 Y 0.366 0.382 0.886
Y4 Y 0.634 0.618 0.114
Sm1 Sm 0.500 0.000 0.000
```

Computed properties:
E_form	0.129	eV per atom
N(E_F)	13.56	states/eV/cell

Entry 4:
First-principles (PBE-GGA) data for a geometry-optimized Pr12Sm5Y structure, as listed in Alexandria.

Cell and atoms, written as CIF:
```
data_Pr12Sm5Y
_cell_length_a 15.629
_cell_length_b 11.048
_cell_length_c 5.217
_cell_angle_alpha 90.00
_cell_angle_beta 90.00
_cell_angle_gamma 45.03
_space_group_name_H-M_alt 'P 1'
_space_group_IT_number 1
loop_
_space_group_symop_operation_xyz
'x,y,z'
loop_
_atom_site_label
_atom_site_type_symbol
_atom_site_fract_x
_atom_site_fract_y
_atom_site_fract_z
Pr1 Pr 0.835 0.000 0.500
Pr2 Pr 0.165 0.000 0.500
Pr3 Pr 0.666 0.000 0.000
Pr4 Pr 0.334 0.000 0.000
Pr5 Pr 0.332 0.667 0.000
Pr6 Pr 0.001 0.667 0.000
Pr7 Pr 0.999 0.333 0.000
Pr8 Pr 0.668 0.333 0.000
Pr9 Pr 0.499 0.333 0.500
Pr10 Pr 0.832 0.666 0.500
Pr11 Pr 0.168 0.334 0.500
Pr12 Pr 0.501 0.667 0.500
Sm1 Sm 0.500 0.000 0.500
Sm2 Sm 0.166 0.667 0.500
Sm3 Sm 0.834 0.333 0.500
Sm4 Sm 0.667 0.667 0.000
Sm5 Sm 0.333 0.333 0.000
Y1 Y 0.000 0.000 0.000
```

Computed properties:
E_form	0.014	eV per atom
N(E_F)	29.44	states/eV/cell

Entry 5:
First-principles (PBE-GGA) data for a geometry-optimized Pr3SmY7 structure, as listed in Alexandria.

Cell and atoms, written as CIF:
```
data_Pr3SmY7
_cell_length_a 5.591
_cell_length_b 10.251
_cell_length_c 8.963
_cell_angle_alpha 106.00
_cell_angle_beta 128.55
_cell_angle_gamma 90.01
_space_group_name_H-M_alt 'P 1'
_space_group_IT_number 1
loop_
_space_group_symop_operation_xyz
'x,y,z'
loop_
_atom_site_label
_atom_site_type_symbol
_atom_site_fract_x
_atom_site_fract_y
_atom_site_fract_z
Pr1 Pr 0.283 0.002 0.784
Pr2 Pr 0.000 0.500 0.000
Pr3 Pr 0.717 0.998 0.216
Sm1 Sm 0.500 0.500 0.500
Y1 Y 0.909 0.829 0.909
Y2 Y 0.858 0.713 0.359
Y3 Y 0.684 0.365 0.184
Y4 Y 0.316 0.635 0.816
Y5 Y 0.500 0.000 0.500
Y6 Y 0.142 0.287 0.641
Y7 Y 0.091 0.171 0.091
```

Computed properties:
E_form	0.140	eV per atom
N(E_F)	17.28	states/eV/cell

Entry 6:
First-principles (PBE-GGA) data for a geometry-optimized PrSm3Y4 structure, as listed in Alexandria.

Cell and atoms, written as CIF:
```
data_PrSm3Y4
_cell_length_a 6.350
_cell_length_b 7.357
_cell_length_c 11.550
_cell_angle_alpha 90.00
_cell_angle_beta 90.00
_cell_angle_gamma 90.00
_space_group_name_H-M_alt 'P 1'
_space_group_IT_number 1
loop_
_space_group_symop_operation_xyz
'x,y,z'
loop_
_atom_site_label
_atom_site_type_symbol
_atom_site_fract_x
_atom_site_fract_y
_atom_site_fract_z
Pr1 Pr 0.149 0.375 0.000
Pr2 Pr 0.649 0.625 0.500
Sm1 Sm 0.649 0.626 0.000
Sm2 Sm 0.980 0.626 0.250
Sm3 Sm 0.480 0.374 0.250
Sm4 Sm 0.149 0.374 0.500
Sm5 Sm 0.480 0.374 0.750
Sm6 Sm 0.980 0.626 0.750
Y1 Y 0.147 0.877 0.000
Y2 Y 0.646 0.123 0.000
Y3 Y 0.982 0.123 0.251
Y4 Y 0.482 0.877 0.249
Y5 Y 0.146 0.877 0.500
Y6 Y 0.647 0.123 0.500
Y7 Y 0.482 0.877 0.751
Y8 Y 0.982 0.123 0.749
```

Computed properties:
E_form	0.019	eV per atom
N(E_F)	30.28	states/eV/cell

Entry 7:
First-principles (PBE-GGA) data for a geometry-optimized Pr2SmY2 structure, as listed in Alexandria.

Cell and atoms, written as CIF:
```
data_Pr2SmY2
_cell_length_a 5.999
_cell_length_b 7.002
_cell_length_c 9.912
_cell_angle_alpha 97.46
_cell_angle_beta 72.39
_cell_angle_gamma 64.64
_space_group_name_H-M_alt 'P 1'
_space_group_IT_number 1
loop_
_space_group_symop_operation_xyz
'x,y,z'
loop_
_atom_site_label
_atom_site_type_symbol
_atom_site_fract_x
_atom_site_fract_y
_atom_site_fract_z
Pr1 Pr 0.117 0.236 0.530
Pr2 Pr 0.883 0.764 0.470
Pr3 Pr 0.481 0.280 0.758
Pr4 Pr 0.519 0.720 0.242
Sm1 Sm 0.301 0.254 0.144
Sm2 Sm 0.699 0.746 0.856
Y1 Y 0.697 0.255 0.352
Y2 Y 0.303 0.745 0.648
Y3 Y 0.080 0.774 0.066
Y4 Y 0.920 0.226 0.934
```

Computed properties:
E_form	0.106	eV per atom
N(E_F)	19.21	states/eV/cell

Entry 8:
First-principles (PBE-GGA) data for a geometry-optimized Pr2SmY7 structure, as listed in Alexandria.

Cell and atoms, written as CIF:
```
data_Pr2SmY7
_cell_length_a 6.243
_cell_length_b 9.535
_cell_length_c 9.546
_cell_angle_alpha 141.86
_cell_angle_beta 109.14
_cell_angle_gamma 77.35
_space_group_name_H-M_alt 'P 1'
_space_group_IT_number 1
loop_
_space_group_symop_operation_xyz
'x,y,z'
loop_
_atom_site_label
_atom_site_type_symbol
_atom_site_fract_x
_atom_site_fract_y
_atom_site_fract_z
Pr1 Pr 0.801 0.000 0.602
Pr2 Pr 0.199 0.000 0.398
Sm1 Sm 0.000 0.000 0.000
Y1 Y 0.101 0.499 0.201
Y2 Y 0.899 0.501 0.799
Y3 Y 0.300 0.501 0.600
Y4 Y 0.700 0.499 0.400
Y5 Y 0.599 0.001 0.199
Y6 Y 0.401 0.999 0.801
Y7 Y 0.500 0.500 0.000
```

Computed properties:
E_form	0.018	eV per atom
N(E_F)	14.74	states/eV/cell

Entry 9:
First-principles (PBE-GGA) data for a geometry-optimized Pr5Sm3Y3 structure, as listed in Alexandria.

Cell and atoms, written as CIF:
```
data_Pr5Sm3Y3
_cell_length_a 3.485
_cell_length_b 11.449
_cell_length_c 11.449
_cell_angle_alpha 120.00
_cell_angle_beta 90.00
_cell_angle_gamma 90.00
_space_group_name_H-M_alt 'P 1'
_space_group_IT_number 1
loop_
_space_group_symop_operation_xyz
'x,y,z'
loop_
_atom_site_label
_atom_site_type_symbol
_atom_site_fract_x
_atom_site_fract_y
_atom_site_fract_z
Pr1 Pr 0.500 0.667 0.333
Pr2 Pr 0.500 0.333 0.667
Pr3 Pr 0.500 0.339 0.000
Pr4 Pr 0.500 0.661 0.661
Pr5 Pr 0.500 0.000 0.339
Sm1 Sm 0.000 0.595 0.000
Sm2 Sm 0.000 0.000 0.595
Sm3 Sm 0.000 0.405 0.405
Y1 Y 0.500 0.839 0.000
Y2 Y 0.500 0.161 0.161
Y3 Y 0.500 0.000 0.839
```

Computed properties:
E_form	0.311	eV per atom
N(E_F)	16.88	states/eV/cell

Entry 10:
First-principles (PBE-GGA) data for a geometry-optimized Pr6Sm3Y structure, as listed in Alexandria.

Cell and atoms, written as CIF:
```
data_Pr6Sm3Y
_cell_length_a 6.572
_cell_length_b 11.203
_cell_length_c 11.203
_cell_angle_alpha 121.05
_cell_angle_beta 90.00
_cell_angle_gamma 90.00
_space_group_name_H-M_alt 'P 1'
_space_group_IT_number 1
loop_
_space_group_symop_operation_xyz
'x,y,z'
loop_
_atom_site_label
_atom_site_type_symbol
_atom_site_fract_x
_atom_site_fract_y
_atom_site_fract_z
Pr1 Pr 0.057 0.713 0.630
Pr2 Pr 0.557 0.630 0.713
Pr3 Pr 0.363 0.520 0.939
Pr4 Pr 0.863 0.939 0.520
Pr5 Pr 0.361 0.968 0.032
Pr6 Pr 0.657 0.280 0.720
Pr7 Pr 0.157 0.720 0.280
Pr8 Pr 0.861 0.032 0.968
Pr9 Pr 0.363 0.061 0.480
Pr10 Pr 0.863 0.480 0.061
Pr11 Pr 0.057 0.370 0.287
Pr12 Pr 0.557 0.287 0.370
Sm1 Sm 0.468 0.944 0.710
Sm2 Sm 0.968 0.710 0.944
Sm3 Sm 0.086 0.385 0.615
Sm4 Sm 0.586 0.615 0.385
Sm5 Sm 0.968 0.056 0.290
Sm6 Sm 0.468 0.290 0.056
Y1 Y 0.107 0.189 0.811
Y2 Y 0.607 0.811 0.189
```

Computed properties:
E_form	0.134	eV per atom
N(E_F)	27.15	states/eV/cell